This record from OQMD describes a relaxed structure of DyTm2In3CuNi2. The functional is PBE.

Summary:
- symmetry = Amm2
- energy (eV per atom) = -4.548
- total moment (μB per cell) = 0.0

```
DyTm2In3CuNi2
1.0
3.8053 0.0000 0.0000
0.0000 6.4118 3.7022
0.0000 -6.4118 3.7022
Cu In Ni Tm Dy
1 3 2 2 1
direct
0.0000 0.0001 0.0001
0.5000 0.7415 0.0002
0.5000 0.2583 0.2583
0.5000 0.0002 0.7415
0.5000 0.3332 0.6667
0.5000 0.6667 0.3332
0.0000 0.4126 0.0000
0.0000 0.0000 0.4126
0.0000 0.5873 0.5873
```


This record from OQMD describes a relaxed structure of Gd2Co3Ge. The functional is PBE.

Summary:
- symmetry = R-3m
- energy (eV per atom) = -6.209
- total moment (μB per cell) = 0.1

```
Gd2Co3Ge
1.0
-4.7569 0.0051 1.4467
-1.3687 3.8734 2.8009
-2.9087 3.3392 -2.2607
Co Ge Gd
3 1 2
direct
0.5000 0.0000 0.0000
0.0000 0.5000 0.0000
0.0000 0.0000 0.5000
0.0000 0.0000 0.0000
0.3733 0.3733 0.3733
0.6267 0.6267 0.6267
```


This record from OQMD describes a relaxed structure of BaMg2Mo. The functional is PBE.

Summary:
- symmetry = F-43m
- energy (eV per atom) = -3.169
- total moment (μB per cell) = 3.7

```
BaMg2Mo
1.0
0.0000 3.8159 3.8159
3.8159 0.0000 3.8159
3.8159 3.8159 0.0000
Ba Mo Mg
1 1 2
direct
0.7500 0.7500 0.7500
0.5000 0.5000 0.5000
0.2500 0.2500 0.2500
0.0000 0.0000 0.0000
```


This record from OQMD describes a relaxed structure of KRbDy2P2. The functional is PBE.

Summary:
- symmetry = P4mm
- energy (eV per atom) = -4.379
- total moment (μB per cell) = 0.0

```
KRbDy2P2
1.0
-0.5373 1.5954 -4.6623
3.9074 -2.7196 -1.3810
-4.7366 -6.0339 -1.5189
P K Rb Dy
2 1 1 2
direct
0.5000 0.5000 0.1681
0.0000 0.0000 0.8298
0.0000 0.0000 0.3805
0.5000 0.5000 0.6156
0.0000 0.5000 0.0030
0.5000 0.0000 0.0030
```


Number 1: density 9428 kg/m3. Number 2: density 9778 kg/m3. Number 3: density 4212 kg/m3. Number 4: density 4421 kg/m3.